4
Lattice="-3.303 0.542 -0.713 0.487 -1.202 -3.167 -1.473 -6.179 2.120" Properties=species:S:1:pos:R:3 comment="PmMgPt2 | Alexandria | PBE | relaxed" rho_g_cm3=11.85 formation_energy_ev_per_atom=-0.943 magnetic_moment_mub_per_cell=0.0 final_energy_ev_per_atom=-5.55 pbc="T T T"
Mg -1.408 -0.330 -1.940
Pt -1.150 -4.825 1.655
Pt -0.323 -1.353 0.464
Pm -2.144 -3.419 -0.880

5
Lattice="4.676 0.000 0.000 0.000 4.952 0.000 0.000 0.000 4.676" Properties=species:S:1:pos:R:3 comment="TaTiTc2Ag | Alexandria | PBE | relaxed" rho_g_cm3=8.17 formation_energy_ev_per_atom=1.517 magnetic_moment_mub_per_cell=0.0 final_energy_ev_per_atom=-7.15 pbc="T T T"
Ti 2.338 2.476 2.338
Tc 0.000 0.000 2.338
Tc 2.338 0.000 0.000
Ag 0.000 2.476 0.000
Ta 0.000 0.000 0.000

14
Lattice="-0.507 3.570 -7.869 -2.687 -8.192 0.773 -7.477 3.037 2.247" Properties=species:S:1:pos:R:3 comment="Cs3MgS3 | Alexandria | PBE | relaxed" rho_g_cm3=3.09 magnetic_moment_mub_per_cell=0.0 final_energy_ev_per_atom=-3.46 formation_energy_uncorrected_mev_per_atom=-1097.5 pbc="T T T"
Cs -4.514 -1.896 -3.718
Cs -5.988 -4.312 0.162
Cs -4.683 2.727 -5.011
Cs -2.173 -5.417 -1.266
Cs -1.021 0.795 -5.830
Cs -6.158 0.311 -1.131
Mg -8.612 -1.179 -3.777
Mg -2.059 -0.406 -1.072
S -3.696 -3.999 -6.375
S -7.289 0.619 -4.503
S -7.895 -2.655 -2.097
S -3.383 -2.204 -0.346
S -2.776 1.070 -2.752
S -6.975 2.414 1.526

28
Lattice="-3.812 4.706 -1.016 -3.403 -1.104 7.652 5.136 5.343 5.471" Properties=species:S:1:pos:R:3 comment="BaNdInO4 | Alexandria | PBE | relaxed" rho_g_cm3=6.59 magnetic_moment_mub_per_cell=0.0 final_energy_ev_per_atom=-6.69 formation_energy_uncorrected_mev_per_atom=-2509.0 pbc="T T T"
Ba -3.729 3.787 3.644
Ba 3.342 5.722 4.634
Ba 1.650 5.158 8.462
Ba -5.420 3.223 7.473
Nd 0.056 3.156 5.274
Nd -0.403 6.303 3.015
Nd -2.135 5.789 6.833
Nd -1.675 2.642 9.091
In 0.364 7.672 6.024
In -0.804 1.901 2.241
In -2.443 1.273 6.083
In -1.275 7.044 9.866
O -1.769 1.970 4.148
O 0.912 8.119 4.005
O -0.310 6.975 7.959
O -2.991 0.826 8.101
O 2.423 7.275 6.628
O -4.586 4.426 1.177
O -4.502 1.670 5.479
O 2.508 4.519 10.930
O 1.237 2.203 3.399
O -0.152 5.489 5.272
O -3.316 6.742 8.708
O -1.927 3.456 6.835
O 1.986 3.159 6.524
O -0.591 4.150 2.229
O -4.065 5.786 5.582
O -1.488 4.795 9.878

3
Lattice="-1.116 2.048 2.318 -2.044 -2.338 1.082 8.051 -2.848 4.061" Properties=species:S:1:pos:R:3 comment="TbCeTl | Alexandria | PBE | relaxed" de_polymorph_ev_per_atom=0.487 rho_g_cm3=8.43 formation_energy_ev_per_atom=0.268 magnetic_moment_mub_per_cell=0.8 final_energy_ev_per_atom=-4.04 pbc="T T T"
Tl 3.653 -1.690 3.252
Tb 1.350 -0.625 1.202
Ce 5.997 -2.774 5.339

13
Lattice="4.133 0.000 0.000 0.000 6.905 -3.986 0.000 0.000 7.973" Properties=species:S:1:pos:R:3 comment="Pu3TlO9 | Alexandria | PBE | relaxed" rho_g_cm3=7.89 magnetic_moment_mub_per_cell=7.0 final_energy_ev_per_atom=-9.30 formation_energy_uncorrected_mev_per_atom=-2379.4 pbc="T T T"
Pu 2.066 0.000 3.986
Pu 2.066 3.452 -1.993
Pu 2.066 3.452 1.993
Tl 0.000 0.000 0.000
O 0.000 0.000 3.986
O 2.066 1.419 2.459
O 2.066 1.419 5.514
O 2.066 4.066 3.986
O 0.000 3.452 -1.993
O 2.066 2.839 0.000
O 0.000 3.452 1.993
O 2.066 5.485 -1.528
O 2.066 5.485 1.528